[1]
Material: CoTe2As
Method: DFT, GGA-PBE
State: optimized geometry

Output
volume = 91 Å³/cell
VASP energy = -16.755 eV for the cell shown
symmetry = P2/m (10)
D(E_F) = 1.0585 states/eV/atom
spin magnetization = 0.82 μB/cell
energy relative to the elements, uncorrected = 0.321 eV/atom

a b c (Å): 3.753 3.003 8.384
angles (deg): 105.87 90.00 90.00
Fractional positions:
Te (0.000, 0.444, 0.543)
Co (0.500, 0.750, 0.750)
As (0.500, 0.250, 0.250)
Te (0.000, 0.056, 0.957)

[2]
Material: BeCo2Tc
Method: DFT, GGA-PBE
State: optimized geometry

Output
energy relative to the elements = 67 meV per atom
distance to the lowest polymorph of the same formula = 91 kJ/mol of formula units
volume = 45 Å³/cell
VASP energy = -28.037 eV for the cell shown
symmetry = Cmmm (65)
D(E_F) = 1.0683 states/eV/atom
spin magnetization = 0.00 μB/cell

a b c (Å): 4.265 4.265 2.568
angles (deg): 90.00 90.00 106.97
Fractional positions:
Tc (0.500, 0.000, 0.500)
Co (0.000, 0.000, 0.000)
Be (0.000, 0.500, 0.500)
Co (0.500, 0.500, 0.000)

[3]
Material: MnFe2H
Method: DFT, GGA-PBE
State: optimized geometry

Output
distance to the lowest polymorph of the same formula = 102 kJ/mol of formula units
volume = 37 Å³/cell
VASP energy = -28.025 eV for the cell shown
symmetry = R-3m (166)
D(E_F) = 1.0208 states/eV/atom
spin magnetization = 2.94 μB/cell

a b c (Å): 2.520 2.520 6.884
angles (deg): 79.45 79.45 60.00
Fractional positions:
H (0.500, 0.500, 0.500)
Mn (0.000, 0.000, 0.000)
Fe (0.110, 0.110, 0.670)
Fe (0.890, 0.890, 0.330)

[4]
Material: AgRuPt2
Method: DFT, GGA-PBE
State: optimized geometry

Output
energy relative to the elements = 368 meV per atom
distance to the lowest polymorph of the same formula = 131 kJ/mol of formula units
volume = 64 Å³/cell
VASP energy = -22.738 eV for the cell shown
symmetry = F-43m (216)
D(E_F) = 0.9752 states/eV/atom
spin magnetization = 1.48 μB/cell

a b c (Å): 4.481 4.481 4.481
angles (deg): 60.00 60.00 60.00
Fractional positions:
Ag (0.500, 0.500, 0.500)
Pt (0.000, 0.000, 0.000)
Ru (0.750, 0.750, 0.750)
Pt (0.250, 0.250, 0.250)

[5]
Material: TbHo2Tm3S6
Method: DFT, GGA-PBE
State: optimized geometry

Output
volume = 246 Å³/cell
VASP energy = -75.470 eV for the cell shown
symmetry = C2/m (12)
D(E_F) = 0.4282 states/eV/atom
spin magnetization = 0.00 μB/cell
energy relative to the elements, uncorrected = -1.959 eV/atom

a b c (Å): 3.859 7.772 8.649
angles (deg): 103.28 102.89 90.00
Fractional positions:
Ho (0.834, 0.668, 0.668)
Ho (0.166, 0.332, 0.332)
S (0.334, 0.414, 0.668)
Tb (0.500, 0.000, 0.000)
S (0.666, 0.586, 0.332)
S (0.999, 0.255, 0.999)
Tm (0.834, 0.167, 0.668)
S (0.331, 0.919, 0.662)
Tm (0.166, 0.833, 0.332)
S (0.001, 0.745, 0.001)
S (0.669, 0.081, 0.338)
Tm (0.500, 0.500, 0.000)

[6]
Material: CdSb2Rh2
Method: DFT, GGA-PBE
State: optimized geometry

Output
distance to the lowest polymorph of the same formula = 60 kJ/mol of formula units
volume = 200 Å³/cell
VASP energy = -48.379 eV for the cell shown
symmetry = P4/mbm (127)
D(E_F) = 0.5471 states/eV/atom
spin magnetization = 0.00 μB/cell
energy relative to the elements, uncorrected = -0.065 eV/atom

a b c (Å): 8.038 8.038 3.096
angles (deg): 90.00 90.00 90.00
Fractional positions:
Rh (0.865, 0.365, 0.500)
Sb (0.349, 0.849, 0.000)
Rh (0.635, 0.865, 0.500)
Sb (0.651, 0.151, 0.000)
Sb (0.849, 0.651, 0.000)
Sb (0.151, 0.349, 0.000)
Cd (0.500, 0.500, 0.000)
Rh (0.365, 0.135, 0.500)
Rh (0.135, 0.635, 0.500)
Cd (0.000, 0.000, 0.000)

[7]
Material: BiRh2Pb2
Method: DFT, GGA-PBE
State: optimized geometry

Output
energy relative to the elements = 242 meV per atom
distance to the lowest polymorph of the same formula = 139 kJ/mol of formula units
volume = 121 Å³/cell
VASP energy = -24.792 eV for the cell shown
symmetry = I4/mmm (139)
D(E_F) = 0.5183 states/eV/atom
spin magnetization = 0.00 μB/cell

a b c (Å): 4.832 4.832 6.213
angles (deg): 67.12 67.12 90.00
Fractional positions:
Bi (0.000, 0.000, 0.000)
Rh (0.750, 0.250, 0.500)
Rh (0.250, 0.750, 0.500)
Pb (0.362, 0.362, 0.277)
Pb (0.638, 0.638, 0.723)

[8]
Material: Ba2MgAl
Method: DFT, GGA-PBE
State: optimized geometry

Output
energy relative to the elements = -37 meV per atom
distance to the lowest polymorph of the same formula = 31 kJ/mol of formula units
volume = 153 Å³/cell
VASP energy = -9.332 eV for the cell shown
symmetry = P4/mmm (123)
D(E_F) = 0.6740 states/eV/atom
spin magnetization = 0.00 μB/cell

a b c (Å): 6.004 6.008 7.354
angles (deg): 35.19 90.00 90.00
Fractional positions:
Ba (0.000, 0.000, 0.000)
Mg (0.500, 0.500, 0.500)
Al (0.000, 0.000, 0.500)
Ba (0.500, 0.500, 0.000)

Please write out number 3 again, unchanged.
Material: MnFe2H
Method: DFT, GGA-PBE
State: optimized geometry

Output
distance to the lowest polymorph of the same formula = 102 kJ/mol of formula units
volume = 37 Å³/cell
VASP energy = -28.025 eV for the cell shown
symmetry = R-3m (166)
D(E_F) = 1.0208 states/eV/atom
spin magnetization = 2.94 μB/cell

a b c (Å): 2.520 2.520 6.884
angles (deg): 79.45 79.45 60.00
Fractional positions:
H (0.500, 0.500, 0.500)
Mn (0.000, 0.000, 0.000)
Fe (0.110, 0.110, 0.670)
Fe (0.890, 0.890, 0.330)

Q: Among the records above, which one has the highest spin magnetization?
A: MnFe2H

Q: Which value of spin magnetization does entry 8 give?
A: 0.00 μB/cell